# 1
PuCdPd5 | PBE | optimized geometry

It has space group Cmmm (No. 65), with a = 5.7812 Å, b = 7.9774 Å, c = 5.7291 Å, α = 90.00°, β = 90.00° and γ = 90.00°. The inequivalent atoms are Pu at (0.0000, 0.0000, 0.0000), Cd at (0.0000, 0.5000, 0.5000), Pd at (0.0000, 0.5000, 0.0000) and Pd at (0.2500, 0.2500, 0.2572).

Its density of states at the Fermi level is 2.025 states/eV per atom.

# 2
Cs2ZrH4 | PBE | optimized geometry

It has space group I4/mmm (No. 139), with a = 4.2179 Å, b = 4.2179 Å, c = 16.1250 Å, α = 90.00°, β = 90.00° and γ = 90.00°. The inequivalent atoms are Cs at (0.0000, 0.0000, 0.1554), Zr at (0.0000, 0.0000, 0.5000), H at (0.0000, 0.0000, 0.3707) and H at (0.0000, 0.5000, 0.0000).

Its density of states at the Fermi level is 0.379 states/eV per atom.

# 3
Sn3PdSe | PBE | optimized geometry

It has space group Pm-3m (No. 221), with a = 5.2026 Å, b = 5.2026 Å, c = 5.2026 Å, α = 90.00°, β = 90.00° and γ = 90.00°. The inequivalent atoms are Sn at (0.0000, 0.0000, 0.5000), Pd at (0.0000, 0.0000, 0.0000) and Se at (0.5000, 0.5000, 0.5000).

Its density of states at the Fermi level is 0.585 states/eV per atom. Its uncorrected formation energy is -0.010 eV per atom. As for the polymorph energy (0 for the lowest one): 0.000 eV/atom.

# 4
Hg2IrPb | PBE | optimized geometry

It has space group P4/mmm (No. 123), with a = 4.1608 Å, b = 4.1608 Å, c = 4.9987 Å, α = 90.00°, β = 90.00° and γ = 90.00°. The inequivalent atoms are Hg at (0.0000, 0.5000, 0.0000), Ir at (0.0000, 0.0000, 0.5000) and Pb at (0.5000, 0.5000, 0.5000).

Its density of states at the Fermi level is 0.668 states/eV per atom.

# 5
ScAgSe2N | PBE | optimized geometry

It has space group P4/mmm (No. 123), with a = 5.1480 Å, b = 5.1480 Å, c = 3.9690 Å, α = 90.00°, β = 90.00° and γ = 90.00°. The inequivalent atoms are Sc at (0.0000, 0.0000, 0.0000), Ag at (0.5000, 0.5000, 0.5000), Se at (0.0000, 0.5000, 0.5000) and N at (0.5000, 0.5000, 0.0000).

Its density of states at the Fermi level is 0.404 states/eV per atom. Its uncorrected formation energy is 0.493 eV per atom. As for the polymorph energy (0 for the lowest one): 0.306 eV/atom.

# 6
NbCo3Cu | PBE | optimized geometry

It has space group Pm-3m (No. 221), with a = 4.4324 Å, b = 4.4324 Å, c = 4.4324 Å, α = 90.00°, β = 90.00° and γ = 90.00°. The inequivalent atoms are Nb at (0.0000, 0.0000, 0.0000), Co at (0.0000, 0.0000, 0.5000) and Cu at (0.5000, 0.5000, 0.5000).

Its density of states at the Fermi level is 1.341 states/eV per atom. As for the polymorph energy (0 for the lowest one): 0.367 eV/atom.

# 7
Li8Ga6Cu | PBE | optimized geometry

It has space group R-3 (No. 148, hexagonal axes), with a = 7.4539 Å, b = 7.4539 Å, c = 16.5974 Å, α = 90.00°, β = 90.00° and γ = 120.00°. The inequivalent atoms are Li at (0.0000, 0.0000, 0.1581), Li at (0.0077, 0.6522, 0.3791), Ga at (0.0020, 0.3222, 0.4561) and Cu at (0.0000, 0.0000, 0.5000).

Its density of states at the Fermi level is 0.401 states/eV per atom.

# 8
Li2SiAg6 | PBE | optimized geometry

It has space group P4_2/mnm (No. 136), with a = 5.4201 Å, b = 5.4201 Å, c = 12.6416 Å, α = 90.00°, β = 90.00° and γ = 90.00°. The inequivalent atoms are Li at (0.0000, 0.0000, 0.1686), Si at (0.0000, 0.0000, 0.5000), Ag at (0.1800, 0.1800, 0.0000) and Ag at (0.1847, 0.1847, 0.3363).

Its density of states at the Fermi level is 0.245 states/eV per atom. Its uncorrected formation energy is 0.389 eV per atom. As for the polymorph energy (0 for the lowest one): 0.368 eV/atom.

# 9
BaLaTl2Ge | PBE | optimized geometry

It has space group P4/mmm (No. 123), with a = 6.0980 Å, b = 6.0980 Å, c = 5.6745 Å, α = 90.00°, β = 90.00° and γ = 90.00°. The inequivalent atoms are Ba at (0.0000, 0.0000, 0.0000), La at (0.5000, 0.5000, 0.5000), Tl at (0.0000, 0.5000, 0.5000) and Ge at (0.5000, 0.5000, 0.0000).

Its density of states at the Fermi level is 1.281 states/eV per atom.

# 10
CaMgIr2 | PBE | optimized geometry

It has space group R-3m (No. 166, hexagonal axes), with a = 3.0220 Å, b = 3.0220 Å, c = 26.3170 Å, α = 90.00°, β = 90.00° and γ = 120.00°. The inequivalent atoms are Ca at (0.0000, 0.0000, 0.0000), Mg at (0.0000, 0.0000, 0.5000) and Ir at (0.0000, 0.0000, 0.2453).

Its density of states at the Fermi level is 1.117 states/eV per atom.

# 11
Cs2TiI4Cl2 | PBE | optimized geometry

It has space group C2/m (No. 12), with a = 13.5945 Å, b = 8.1931 Å, c = 6.8318 Å, α = 90.00°, β = 95.89° and γ = 90.00°. The inequivalent atoms are Cs at (0.1606, 0.0000, 0.2846), Ti at (0.0000, 0.5000, 0.0000), I at (0.0938, 0.2575, 0.7959) and Cl at (0.1321, 0.5000, 0.2423).

Its uncorrected formation energy is -1.330 eV per atom.

# 12
Cu4TcRu | PBE | optimized geometry

It has space group F-43m (No. 216), with a = 6.6996 Å, b = 6.6996 Å, c = 6.6996 Å, α = 90.00°, β = 90.00° and γ = 90.00°. The inequivalent atoms are Cu at (0.1250, 0.1250, 0.1250), Tc at (0.0000, 0.0000, 0.5000) and Ru at (0.2500, 0.2500, 0.7500).

Its density of states at the Fermi level is 0.887 states/eV per atom.

# 13
SiMoAu2 | PBE | optimized geometry

It has space group Imm2 (No. 44), with a = 3.2762 Å, b = 4.3705 Å, c = 9.2836 Å, α = 90.00°, β = 90.00° and γ = 90.00°. The inequivalent atoms are Si at (0.0000, 0.0000, 0.0000), Mo at (0.0000, 0.5000, 0.3002), Au at (0.0000, 0.0000, 0.5132) and Au at (0.0000, 0.5000, 0.7149).

Its density of states at the Fermi level is 0.681 states/eV per atom. Its uncorrected formation energy is 0.265 eV per atom.

# 14
In3Te | PBE | optimized geometry

It has space group Pnma (No. 62), with a = 8.4685 Å, b = 8.4649 Å, c = 6.6443 Å, α = 90.00°, β = 90.00° and γ = 90.00°. The inequivalent atoms are In at (0.0216, 0.2500, 0.0896), In at (0.2489, 0.0113, 0.3198) and Te at (0.0062, 0.2500, 0.6219).

Its density of states at the Fermi level is 0.350 states/eV per atom. Its uncorrected formation energy is -0.106 eV per atom.

# 15
HfIrF2 | PBE | optimized geometry

It has space group R-3m (No. 166, hexagonal axes), with a = 2.7797 Å, b = 2.7797 Å, c = 31.4066 Å, α = 90.00°, β = 90.00° and γ = 120.00°. The inequivalent atoms are Hf at (0.0000, 0.0000, 0.0000), Ir at (0.0000, 0.0000, 0.5000) and F at (0.0000, 0.0000, 0.3821).

Its density of states at the Fermi level is 0.559 states/eV per atom. Its uncorrected formation energy is -1.373 eV per atom. As for the polymorph energy (0 for the lowest one): 0.000 eV/atom.

# 16
ReIrRhW | PBE | optimized geometry

It has space group Pmmm (No. 47), with a = 3.8684 Å, b = 3.8773 Å, c = 3.9505 Å, α = 90.00°, β = 90.00° and γ = 90.00°. The inequivalent atoms are Re at (0.0000, 0.0000, 0.0000), Ir at (0.5000, 0.0000, 0.5000), Rh at (0.0000, 0.5000, 0.5000) and W at (0.5000, 0.5000, 0.0000).

Its density of states at the Fermi level is 0.722 states/eV per atom.

# 17
TlIO4 | PBE | optimized geometry

It has space group I4_1md (No. 109), with a = 7.2208 Å, b = 7.2208 Å, c = 6.8833 Å, α = 90.00°, β = 90.00° and γ = 90.00°. The inequivalent atoms are Tl at (0.0000, 0.0000, 0.0000), I at (0.0000, 0.0000, 0.5083), O at (0.0000, 0.2929, 0.4971) and O at (0.0000, 0.3207, 0.9706).

Its density of states at the Fermi level is 0.009 states/eV per atom. Its uncorrected formation energy is -0.363 eV per atom. As for the polymorph energy (0 for the lowest one): 0.000 eV/atom.

# 18
KRbIn4 | PBE | optimized geometry

It has space group Cm (No. 8), with a = 17.3495 Å, b = 6.4432 Å, c = 3.7300 Å, α = 90.00°, β = 102.18° and γ = 90.00°. The inequivalent atoms are K at (0.0000, 0.0000, 0.0000), Rb at (0.1888, 0.0000, 0.6928), In at (0.0203, 0.5000, 0.5186), In at (0.1761, 0.5000, 0.1797) and In at (0.3490, 0.2501, 0.3515).

Its density of states at the Fermi level is 0.485 states/eV per atom. As for the polymorph energy (0 for the lowest one): 0.150 eV/atom.

# 19
HfZrAlRe | PBE | optimized geometry

It has space group P4mm (No. 99), with a = 3.3679 Å, b = 3.3679 Å, c = 6.5112 Å, α = 90.00°, β = 90.00° and γ = 90.00°. The inequivalent atoms are Hf at (0.0000, 0.0000, 0.0000), Zr at (0.0000, 0.0000, 0.4786), Al at (0.5000, 0.5000, 0.7424) and Re at (0.5000, 0.5000, 0.2314).

Its density of states at the Fermi level is 0.254 states/eV per atom. As for the polymorph energy (0 for the lowest one): 0.000 eV/atom.

# 20
YCoC | PBE | optimized geometry

It has space group P4/mmm (No. 123), with a = 3.5668 Å, b = 3.5668 Å, c = 3.6090 Å, α = 90.00°, β = 90.00° and γ = 90.00°. The inequivalent atoms are Y at (0.0000, 0.0000, 0.0000), Co at (0.5000, 0.5000, 0.5000) and C at (0.5000, 0.5000, 0.0000).

Its density of states at the Fermi level is 0.615 states/eV per atom. As for the polymorph energy (0 for the lowest one): 0.054 eV/atom.

# 21
Nd5Ho5Er2 | PBE | optimized geometry

It has space group C2/m (No. 12), with a = 15.2330 Å, b = 5.0679 Å, c = 11.3346 Å, α = 90.00°, β = 116.61° and γ = 90.00°. The inequivalent atoms are Nd at (0.0000, 0.0000, 0.0000), Nd at (0.0819, 0.0000, 0.7481), Nd at (0.2493, 0.0000, 0.2511), Ho at (0.0000, 0.5000, 0.5000), Ho at (0.0846, 0.5000, 0.2528), Ho at (0.1669, 0.5000, 0.9998) and Er at (0.1669, 0.0000, 0.4992).

Its density of states at the Fermi level is 1.431 states/eV per atom.

# 22
Na2TlSn4 | PBE | optimized geometry

It has space group Fmmm (No. 69), with a = 8.8745 Å, b = 8.8824 Å, c = 10.6470 Å, α = 90.00°, β = 90.00° and γ = 90.00°. The inequivalent atoms are Na at (0.2500, 0.2500, 0.0000), Tl at (0.0000, 0.0000, 0.0000), Sn at (0.0000, 0.2500, 0.2500) and Sn at (0.2500, 0.0000, 0.2500).

Its density of states at the Fermi level is 0.885 states/eV per atom.

# 23
TlZn2Hg2Pd5 | PBE | optimized geometry

It has space group P4/mbm (No. 127), with a = 9.4664 Å, b = 9.4664 Å, c = 3.9155 Å, α = 90.00°, β = 90.00° and γ = 90.00°. The inequivalent atoms are Tl at (0.0000, 0.0000, 0.0000), Zn at (0.1260, 0.3740, 0.0000), Hg at (0.1691, 0.6691, 0.0000), Pd at (0.0000, 0.5000, 0.5000) and Pd at (0.0890, 0.1973, 0.5000).

Its density of states at the Fermi level is 0.280 states/eV per atom.

# 24
PuCu2Sb2 | PBE | optimized geometry

It has space group Cmcm (No. 63), with a = 4.3219 Å, b = 22.2613 Å, c = 4.3220 Å, α = 90.00°, β = 90.00° and γ = 90.00°. The inequivalent atoms are Pu at (0.0000, 0.1395, 0.2500), Cu at (0.0000, 0.0299, 0.7500), Cu at (0.0000, 0.4702, 0.7500), Sb at (0.0000, 0.2502, 0.7500) and Sb at (0.0000, 0.3986, 0.2500).

Its density of states at the Fermi level is 2.152 states/eV per atom. Its uncorrected formation energy is -0.312 eV per atom.

# 25
Hf3CuPb | PBE | optimized geometry

It has space group Pm-3m (No. 221), with a = 4.8892 Å, b = 4.8892 Å, c = 4.8892 Å, α = 90.00°, β = 90.00° and γ = 90.00°. The inequivalent atoms are Hf at (0.0000, 0.0000, 0.5000), Cu at (0.0000, 0.0000, 0.0000) and Pb at (0.5000, 0.5000, 0.5000).

Its density of states at the Fermi level is 0.706 states/eV per atom. As for the polymorph energy (0 for the lowest one): 0.000 eV/atom.

Respective calculated density values: 11.2; 4.2; 6.4; 15.4; 5.1; 6.4; 3.4; 6.2; 6.0; 10.7; 3.9; 10.0; 12.9; 6.6; 9.7; 18.6; 7.3; 4.8; 10.9; 5.8; 8.0; 5.7; 12.0; 9.8; 11.5 Mg/m³.
Respective E_tot values: -87.022; -48.419; -20.738; -11.099; -22.012; -27.820; -121.883; -45.707; -15.854; -63.726; -62.925; -138.048; -43.496; -47.121; -84.153; -42.423; -103.715; -25.388; -36.341; -23.576; -111.247; -85.009; -67.526; -129.308; -36.073 eV/cell.